# SnTeNO2 (SCAN, single point on PBEsol structure)
# calculated volume: 13.44 A^3/atom
# uncorrected formation energy: -53 meV per atom
data_SnTeNO2
_chemical_formula_sum 'Sn1 Te1 N1 O2'
_symmetry_space_group_name_H-M 'P 1'
_symmetry_Int_Tables_number 1
_symmetry_space_group_name_Hall 'P 1'
_cell_length_a 3.9879
_cell_length_b 3.9879
_cell_length_c 4.2265
_cell_angle_alpha 90.00
_cell_angle_beta 90.00
_cell_angle_gamma 90.00
loop_
_atom_site_label
_atom_site_type_symbol
_atom_site_fract_x
_atom_site_fract_y
_atom_site_fract_z
_atom_site_occupancy
O1 O 0.0000 0.5000 0.0000 1
Sn1 Sn 0.0000 0.0000 0.0000 1
Te1 Te 0.5000 0.5000 0.5000 1
N1 N 0.0000 0.0000 0.5000 1
O2 O 0.5000 0.0000 0.0000 1

---

# TiSnNO2 (SCAN, single point on PBEsol structure)
# calculated volume: 12.65 A^3/atom
# uncorrected formation energy: -598 meV per atom
data_TiSnNO2
_chemical_formula_sum 'Ti1 Sn1 N1 O2'
_symmetry_space_group_name_H-M 'P 1'
_symmetry_Int_Tables_number 1
_symmetry_space_group_name_Hall 'P 1'
_cell_length_a 3.9354
_cell_length_b 3.9354
_cell_length_c 4.0842
_cell_angle_alpha 90.00
_cell_angle_beta 90.00
_cell_angle_gamma 90.00
loop_
_atom_site_label
_atom_site_type_symbol
_atom_site_fract_x
_atom_site_fract_y
_atom_site_fract_z
_atom_site_occupancy
O1 O 0.0000 0.5000 0.0000 1
N1 N 0.0000 0.0000 0.5000 1
Ti1 Ti 0.5000 0.5000 0.5000 1
O2 O 0.5000 0.0000 0.0000 1
Sn1 Sn 0.0000 0.0000 0.0000 1

---

# TlSnNO2 (SCAN, single point on PBEsol structure)
# calculated volume: 13.76 A^3/atom
# uncorrected formation energy: -196 meV per atom
data_TlSnNO2
_chemical_formula_sum 'Tl1 Sn1 N1 O2'
_symmetry_space_group_name_H-M 'P 1'
_symmetry_Int_Tables_number 1
_symmetry_space_group_name_Hall 'P 1'
_cell_length_a 3.9963
_cell_length_b 3.9963
_cell_length_c 4.3078
_cell_angle_alpha 90.00
_cell_angle_beta 90.00
_cell_angle_gamma 90.00
loop_
_atom_site_label
_atom_site_type_symbol
_atom_site_fract_x
_atom_site_fract_y
_atom_site_fract_z
_atom_site_occupancy
O1 O 0.5000 0.0000 0.0000 1
Tl1 Tl 0.5000 0.5000 0.5000 1
N1 N 0.0000 0.0000 0.5000 1
Sn1 Sn 0.0000 0.0000 0.0000 1
O2 O 0.0000 0.5000 0.0000 1

---

# SrN2O2 (SCAN, single point on PBEsol structure)
# calculated volume: 24.16 A^3/atom
# uncorrected formation energy: 1567 meV per atom
data_SrN2O2
_chemical_formula_sum 'Sr1 N2 O2'
_symmetry_space_group_name_H-M 'P 1'
_symmetry_Int_Tables_number 1
_symmetry_space_group_name_Hall 'P 1'
_cell_length_a 4.5357
_cell_length_b 5.1604
_cell_length_c 5.1604
_cell_angle_alpha 90.00
_cell_angle_beta 90.00
_cell_angle_gamma 90.00
loop_
_atom_site_label
_atom_site_type_symbol
_atom_site_fract_x
_atom_site_fract_y
_atom_site_fract_z
_atom_site_occupancy
N1 N 0.0000 0.0000 0.5000 1
O1 O 0.5000 0.5000 0.5000 1
N2 N 0.0000 0.5000 0.0000 1
Sr1 Sr 0.0000 0.0000 0.0000 1
O2 O 0.5000 0.0000 0.0000 1

---

# Sr2N2O (SCAN, single point on PBEsol structure)
# calculated volume: 16.64 A^3/atom
# uncorrected formation energy: -1305 meV per atom
data_Sr2N2O
_chemical_formula_sum 'Sr4 N4 O2'
_symmetry_space_group_name_H-M 'P 1'
_symmetry_Int_Tables_number 1
_symmetry_space_group_name_Hall 'P 1'
_cell_length_a 3.6402
_cell_length_b 6.7603
_cell_length_c 6.7603
_cell_angle_alpha 90.00
_cell_angle_beta 90.00
_cell_angle_gamma 90.00
loop_
_atom_site_label
_atom_site_type_symbol
_atom_site_fract_x
_atom_site_fract_y
_atom_site_fract_z
_atom_site_occupancy
O1 O 0.0000 0.0000 0.0000 1
Sr1 Sr 0.0000 0.2898 0.7898 1
N1 N 0.5000 0.4327 0.0673 1
N2 N 0.5000 0.0673 0.5673 1
O2 O 0.0000 0.5000 0.5000 1
N3 N 0.5000 0.9327 0.4327 1
Sr2 Sr 0.0000 0.2102 0.2898 1
Sr3 Sr 0.0000 0.7102 0.2102 1
Sr4 Sr 0.0000 0.7898 0.7102 1
N4 N 0.5000 0.5673 0.9327 1

---

# SrNO3 (SCAN, single point on PBEsol structure)
# calculated volume: 10.08 A^3/atom
# uncorrected formation energy: -238 meV per atom
data_SrNO3
_chemical_formula_sum 'Sr1 N1 O3'
_symmetry_space_group_name_H-M 'P 1'
_symmetry_Int_Tables_number 1
_symmetry_space_group_name_Hall 'P 1'
_cell_length_a 3.6943
_cell_length_b 3.6943
_cell_length_c 3.6943
_cell_angle_alpha 90.00
_cell_angle_beta 90.00
_cell_angle_gamma 90.00
loop_
_atom_site_label
_atom_site_type_symbol
_atom_site_fract_x
_atom_site_fract_y
_atom_site_fract_z
_atom_site_occupancy
N1 N 0.5000 0.5000 0.5000 1
O1 O 0.5000 0.5000 0.0000 1
O2 O 0.0000 0.5000 0.5000 1
O3 O 0.5000 0.0000 0.5000 1
Sr1 Sr 0.0000 0.0000 0.0000 1

---

# SrNO3 (SCAN, single point on PBEsol structure)
# calculated volume: 23.70 A^3/atom
# uncorrected formation energy: 755 meV per atom
data_SrNO3
_chemical_formula_sum 'Sr1 N1 O3'
_symmetry_space_group_name_H-M 'P 1'
_symmetry_Int_Tables_number 1
_symmetry_space_group_name_Hall 'P 1'
_cell_length_a 4.9116
_cell_length_b 4.9116
_cell_length_c 4.9116
_cell_angle_alpha 90.00
_cell_angle_beta 90.00
_cell_angle_gamma 90.00
loop_
_atom_site_label
_atom_site_type_symbol
_atom_site_fract_x
_atom_site_fract_y
_atom_site_fract_z
_atom_site_occupancy
O1 O 0.0000 0.0000 0.5000 1
O2 O 0.5000 0.0000 0.0000 1
N1 N 0.5000 0.5000 0.5000 1
Sr1 Sr 0.0000 0.0000 0.0000 1
O3 O 0.0000 0.5000 0.0000 1

---

# SrTcNO2 (SCAN, single point on PBEsol structure)
# calculated volume: 11.92 A^3/atom
# uncorrected formation energy: -1743 meV per atom
data_SrTcNO2
_chemical_formula_sum 'Sr1 Tc1 N1 O2'
_symmetry_space_group_name_H-M 'P 1'
_symmetry_Int_Tables_number 1
_symmetry_space_group_name_Hall 'P 1'
_cell_length_a 3.8149
_cell_length_b 3.9519
_cell_length_c 3.9519
_cell_angle_alpha 90.00
_cell_angle_beta 90.00
_cell_angle_gamma 90.00
loop_
_atom_site_label
_atom_site_type_symbol
_atom_site_fract_x
_atom_site_fract_y
_atom_site_fract_z
_atom_site_occupancy
Sr1 Sr 0.5000 0.5000 0.5000 1
Tc1 Tc 0.0000 0.0000 0.0000 1
O1 O 0.0000 0.5000 0.0000 1
N1 N 0.5000 0.0000 0.0000 1
O2 O 0.0000 0.0000 0.5000 1

---

# SrWN2O (SCAN, single point on PBEsol structure)
# calculated volume: 15.34 A^3/atom
# uncorrected formation energy: 2215 meV per atom
data_SrWN2O
_chemical_formula_sum 'Sr1 W1 N2 O1'
_symmetry_space_group_name_H-M 'P 1'
_symmetry_Int_Tables_number 1
_symmetry_space_group_name_Hall 'P 1'
_cell_length_a 4.2930
_cell_length_b 4.2263
_cell_length_c 4.2263
_cell_angle_alpha 90.00
_cell_angle_beta 90.00
_cell_angle_gamma 90.00
loop_
_atom_site_label
_atom_site_type_symbol
_atom_site_fract_x
_atom_site_fract_y
_atom_site_fract_z
_atom_site_occupancy
N1 N 0.0000 0.5000 0.0000 1
N2 N 0.0000 0.0000 0.5000 1
O1 O 0.5000 0.0000 0.0000 1
W1 W 0.5000 0.5000 0.5000 1
Sr1 Sr 0.0000 0.0000 0.0000 1

---

# SrWNO2 (SCAN, single point on PBEsol structure)
# calculated volume: 16.01 A^3/atom
# uncorrected formation energy: 1434 meV per atom
data_SrWNO2
_chemical_formula_sum 'Sr1 W1 N1 O2'
_symmetry_space_group_name_H-M 'P 1'
_symmetry_Int_Tables_number 1
_symmetry_space_group_name_Hall 'P 1'
_cell_length_a 4.2994
_cell_length_b 4.3156
_cell_length_c 4.3156
_cell_angle_alpha 90.00
_cell_angle_beta 90.00
_cell_angle_gamma 90.00
loop_
_atom_site_label
_atom_site_type_symbol
_atom_site_fract_x
_atom_site_fract_y
_atom_site_fract_z
_atom_site_occupancy
W1 W 0.5000 0.5000 0.5000 1
N1 N 0.5000 0.0000 0.0000 1
O1 O 0.0000 0.0000 0.5000 1
O2 O 0.0000 0.5000 0.0000 1
Sr1 Sr 0.0000 0.0000 0.0000 1

---

# SrWNO2 (SCAN, single point on PBEsol structure)
# calculated volume: 12.44 A^3/atom
# uncorrected formation energy: -2079 meV per atom
data_SrWNO2
_chemical_formula_sum 'Sr1 W1 N1 O2'
_symmetry_space_group_name_H-M 'P 1'
_symmetry_Int_Tables_number 1
_symmetry_space_group_name_Hall 'P 1'
_cell_length_a 3.9503
_cell_length_b 3.9503
_cell_length_c 3.9847
_cell_angle_alpha 90.00
_cell_angle_beta 90.00
_cell_angle_gamma 90.00
loop_
_atom_site_label
_atom_site_type_symbol
_atom_site_fract_x
_atom_site_fract_y
_atom_site_fract_z
_atom_site_occupancy
O1 O 0.0000 0.5000 0.0000 1
O2 O 0.5000 0.0000 0.0000 1
W1 W 0.0000 0.0000 0.0000 1
N1 N 0.0000 0.0000 0.5000 1
Sr1 Sr 0.5000 0.5000 0.5000 1

---

# TaNO (SCAN, single point on PBEsol structure)
# calculated volume: 10.59 A^3/atom
# uncorrected formation energy: -2137 meV per atom
data_TaNO
_chemical_formula_sum 'Ta4 N4 O4'
_symmetry_space_group_name_H-M 'P 1'
_symmetry_Int_Tables_number 1
_symmetry_space_group_name_Hall 'P 1'
_cell_length_a 4.9560
_cell_length_b 5.0288
_cell_length_c 5.1762
_cell_angle_alpha 90.00
_cell_angle_beta 99.82
_cell_angle_gamma 90.00
loop_
_atom_site_label
_atom_site_type_symbol
_atom_site_fract_x
_atom_site_fract_y
_atom_site_fract_z
_atom_site_occupancy
N1 N 0.4409 0.2560 0.9807 1
O1 O 0.0627 0.8267 0.8466 1
O2 O 0.9373 0.1733 0.1534 1
O3 O 0.0627 0.6733 0.3466 1
O4 O 0.9373 0.3267 0.6534 1
Ta1 Ta 0.7058 0.4539 0.2845 1
Ta2 Ta 0.7058 0.0461 0.7845 1
Ta3 Ta 0.2942 0.9539 0.2155 1
N2 N 0.5591 0.7560 0.5193 1
Ta4 Ta 0.2942 0.5461 0.7155 1
N3 N 0.4409 0.2440 0.4807 1
N4 N 0.5591 0.7440 0.0193 1

---

What is the calculated volume in the twelfth record?
10.59 A^3/atom